The following is a DFT calculation (GGA-PBEsol) of a relaxed HfCBr2 crystal.

Geometry as POSCAR:
```
HfCBr2
1.0
1.654 0.955 8.237
-1.654 0.955 8.237
0.000 -1.910 8.237
Hf C Br
1 1 2
Direct
0.000 0.000 0.000
0.500 0.500 0.500
0.104 0.104 0.104
0.896 0.896 0.896
```

Output
The volume is 78 Å³/cell. For the density of states at the Fermi level, the calculation gives 2.9 states/eV per cell. The energy relative to the elements, uncorrected comes out at 1.31 eV/atom.

=====

The following is a DFT calculation (GGA-PBEsol) of a relaxed Sr2TaN3 crystal.

Geometry as POSCAR:
```
Sr2TaN3
1.0
2.991 -5.601 0.000
2.991 5.601 0.000
-0.520 0.000 12.499
Sr Ta N
8 4 12
Direct
0.041 0.445 0.859
0.114 0.345 0.423
0.345 0.114 0.923
0.445 0.041 0.359
0.555 0.959 0.641
0.655 0.886 0.077
0.886 0.655 0.577
0.959 0.555 0.141
0.266 0.269 0.664
0.269 0.266 0.164
0.731 0.734 0.836
0.734 0.731 0.336
0.002 0.998 0.250
0.115 0.302 0.040
0.171 0.497 0.624
0.302 0.115 0.540
0.413 0.587 0.250
0.497 0.171 0.124
0.503 0.829 0.876
0.587 0.413 0.750
0.698 0.885 0.460
0.829 0.503 0.376
0.885 0.698 0.960
0.998 0.002 0.750
```

Output
The volume is 419 Å³/cell. For the density of states at the Fermi level, the calculation gives 0.0 states/eV per cell. The energy relative to the elements, uncorrected comes out at -1.25 eV/atom.

=====

The following is a DFT calculation (GGA-PBEsol) of a relaxed RbReP2Cl crystal.

Geometry as POSCAR:
```
RbReP2Cl
1.0
4.546 0.000 0.000
0.000 4.546 0.000
0.000 0.000 5.512
Rb Re P Cl
1 1 2 1
Direct
0.000 0.000 0.000
0.500 0.500 0.500
0.000 0.500 0.500
0.500 0.000 0.500
0.500 0.500 0.000
```

Output
The volume is 114 Å³/cell. For the density of states at the Fermi level, the calculation gives 2.2 states/eV per cell. The energy relative to the elements, uncorrected comes out at -0.20 eV/atom.

=====

The following is a DFT calculation (GGA-PBEsol) of a relaxed Na3LiLa crystal.

Geometry as POSCAR:
```
Na3LiLa
1.0
5.433 0.000 0.000
0.000 5.433 0.000
0.000 0.000 5.433
Na Li La
3 1 1
Direct
0.000 0.000 0.500
0.000 0.500 0.000
0.500 0.000 0.000
0.000 0.000 0.000
0.500 0.500 0.500
```

Output
The volume is 160 Å³/cell. For the formation enthalpy at 0 K, the calculation gives 37.6 kJ/mol of atoms. For the density of states at the Fermi level, the calculation gives 5.3 states/eV per cell.

=====

Asked for E across the records above, the calculation gives -4.66, -8.22, -5.79, -1.91 eV/atom in order.